No. 1
Np3TlF10: relaxed, PBE.

abc: 12.2572 12.2572 12.2572
angles: 90.00 90.00 90.00
Closest atoms and distances in Å follow each position.
Space group Fm-3m (No. 225)
Unique sites:
Np 0.0000 0.0000 0.2399 x24  8 F 2.34-2.50
Tl 0.2500 0.2500 0.2500 x8  4 F 2.92
F 0.0000 0.1653 0.3347 x48  2 Np 2.34
F 0.1125 0.1125 0.1125 x32  3 Np 2.50, 3 F 2.76

## Properties
For the magnetic moment, the calculation gives 0.857 μB per atom. The calculation puts the electronic total energy at -7.470 eV/atom. The density of states at the Fermi level comes out at 228.53 states/eV/cell.

---

No. 2
Li2Ac3In2: relaxed, PBE.

abc: 3.9513 5.1493 22.0667
angles: 90.00 90.00 90.00
Closest atoms and distances in Å follow each position.
Space group Immm (No. 71)
Unique sites:
Li 0.0000 0.0000 0.0678 x4  2 In 2.98, 1 Li 2.99
Ac 0.0000 0.0000 0.5000 x2  8 Li 3.57, 4 In 3.59, 2 Ac 3.95
Ac 0.0000 0.5000 0.3023 x4  2 Li 3.48, 5 In 3.52-3.68
In 0.0000 0.5000 0.1357 x4  2 Li 2.98

## Properties
For the magnetic moment, the calculation gives 0.000 μB per atom. The formation energy from the elements is -0.24 eV per atom. The density of states at the Fermi level comes out at 10.45 states/eV/cell.

---

No. 3
MgScVNi: relaxed, PBE.

abc: 3.0540 4.6533 9.5375
angles: 90.00 90.00 90.00
Closest atoms and distances in Å follow each position.
Space group Imm2 (No. 44)
Unique sites:
Mg 0.0000 0.0000 0.0000 x2  2 Ni 2.69, 4 V 2.86
Sc 0.0000 0.5000 0.2116 x2  4 Ni 2.79, 2 Sc 3.05, 2 Mg 3.08, 4 V 3.09-3.12
V 0.0000 0.0000 0.4296 x2  2 Ni 2.43
Ni 0.0000 0.5000 0.7318 x2  2 V 2.43, 2 Mg 2.69

## Properties
For the magnetic moment, the calculation gives 0.486 μB per atom. Its energy above the most stable polymorph in this dataset is 1.8 kJ/mol of atoms. The formation energy from the elements is 0.05 eV per atom. The density of states at the Fermi level comes out at 7.83 states/eV/cell.